KBa3Pd | PBE-GGA | optimized geometry

Lattice parameters (Å, degrees): 7.9749 7.9749 12.2029 70.93 70.93 60.00
Fractional positions:
Ba  0.7904  0.1071  0.6564
Ba  0.4461  0.7904  0.6564
Ba  0.8929  0.5539  0.3437
Ba  0.1071  0.4461  0.6564
Ba  0.2096  0.8929  0.3437
Ba  0.5539  0.2096  0.3437
Pd  0.8329  0.8329  0.5012
Pd  0.1671  0.1671  0.4988
K  0.3340  0.3340  0.9980
K  0.6660  0.6660  0.0021

Summary:
Energy above the most stable polymorph in this dataset ... 20 meV per atom
Uncorrected energy ... -2.623 eV per atom
Theoretical density ... 2.97 Mg/m³
Formation energy ... -20.4 kJ/mol of atoms
Magnetization ... 0.0 μB/f.u.
Crystal system ... trigonal

***

Tb2GaSn3 | PBE-GGA | optimized geometry

Lattice parameters (Å, degrees): 5.7851 7.9241 7.9241 109.47 90.00 90.00
Fractional positions:
Ga  0.2500  0.1214  0.1214
Ga  0.7500  0.8786  0.8786
Tb  0.2500  0.8365  0.5473
Tb  0.2500  0.5473  0.8365
Tb  0.7500  0.1635  0.4527
Tb  0.7500  0.4527  0.1635
Sn  0.5000  0.8209  0.1791
Sn  0.7500  0.5836  0.5836
Sn  0.5000  0.1791  0.8209
Sn  0.0000  0.1791  0.8209
Sn  0.2500  0.4164  0.4164
Sn  0.0000  0.8209  0.1791

Summary:
Uncorrected energy ... -4.300 eV per atom
Theoretical density ... 7.21 Mg/m³
Formation energy ... -24.2 kJ/mol of atoms
Magnetization ... 0.0 μB/f.u.
Crystal system ... orthorhombic

***

NaLa2HgRu | PBE-GGA | optimized geometry

Lattice parameters (Å, degrees): 5.2932 5.2932 5.6132 90.00 90.00 90.00
Fractional positions:
Ru  0.0000  0.0000  0.0000
Hg  0.5000  0.5000  0.5000
La  0.5000  0.0000  0.0000
La  0.0000  0.5000  0.0000
Na  0.0000  0.0000  0.5000

Summary:
Energy above the most stable polymorph in this dataset ... 62 meV per atom
Uncorrected energy ... -4.247 eV per atom
Theoretical density ... 6.36 Mg/m³
Formation energy ... -9.3 kJ/mol of atoms
Magnetization ... 0.0 μB/f.u.
Crystal system ... tetragonal

***

Tb5Ho4Tm2 | PBE-GGA | optimized geometry

Lattice parameters (Å, degrees): 7.2578 6.5600 9.8550 63.86 68.39 56.41
Fractional positions:
Tb  0.6529  0.3620  0.7744
Tb  0.2108  0.3620  0.7744
Tb  0.0000  0.5000  0.5000
Tb  0.7892  0.6380  0.2256
Tb  0.3471  0.6380  0.2256
Ho  0.6674  0.7843  0.8809
Ho  0.3326  0.2157  0.1191
Ho  0.3105  0.8793  0.4997
Ho  0.6895  0.1207  0.5003
Tm  0.1454  0.8287  0.8806
Tm  0.8546  0.1713  0.1194

Summary:
Uncorrected energy ... -4.448 eV per atom
Theoretical density ... 8.60 Mg/m³
Formation energy ... 13.0 kJ/mol of atoms
Magnetization ... 0.0 μB/f.u.
Crystal system ... monoclinic

***

Pr2DySn3 | PBE-GGA | optimized geometry

Lattice parameters (Å, degrees): 5.2433 6.3722 6.9925 117.11 112.02 90.00
Fractional positions:
Pr  0.3272  0.8272  0.6543
Pr  0.6728  0.1728  0.3457
Sn  0.0000  0.0000  0.0000
Sn  0.6490  0.6490  0.2980
Sn  0.3510  0.3510  0.7020
Dy  0.0000  0.5000  0.0000

Summary:
Uncorrected energy ... -4.945 eV per atom
Theoretical density ... 7.05 Mg/m³
Formation energy ... -56.3 kJ/mol of atoms
Magnetization ... 0.0 μB/f.u.
Crystal system ... orthorhombic

***

Sc2BeHg | PBE-GGA | optimized geometry

Lattice parameters (Å, degrees): 9.8673 9.8673 9.8673 19.01 19.01 19.01
Fractional positions:
Hg  0.0000  0.0000  0.0000
Sc  0.8960  0.8960  0.8960
Sc  0.1040  0.1040  0.1040
Be  0.5000  0.5000  0.5000

Summary:
Energy above the most stable polymorph in this dataset ... 477 meV per atom
Uncorrected energy ... -3.933 eV per atom
Theoretical density ... 5.58 Mg/m³
Formation energy ... 23.1 kJ/mol of atoms
Magnetization ... 0.0 μB/f.u.
Crystal system ... trigonal

***

Q: Which value of formation energy does entry 2 give?
A: -24.2 kJ/mol of atoms